! DyFe2SiGe2 | Alexandria via LeMat-Bulk | PBE | optimized geometry; values from VASP
&SYSTEM
  ibrav = 0, nat = 6, ntyp = 4
/
ATOMIC_SPECIES
Ge 72.64 Ge.upf
Fe 55.84 Fe.upf
Dy 162.50 Dy.upf
Si 28.09 Si.upf
CELL_PARAMETERS angstrom
4.2595 0.0000 0.0000
0.0000 4.2595 0.0000
0.0000 0.0000 5.4568
ATOMIC_POSITIONS crystal
Ge 0.5000 0.5000 0.7367
Ge 0.5000 0.5000 0.2633
Fe 0.0000 0.5000 0.0000
Fe 0.5000 0.0000 0.0000
Dy 0.0000 0.0000 0.5000
Si 0.0000 0.0000 0.0000
! **Uncorrected formation energy**: -19 kJ/mol of atoms
! **Space group**: No. 123



! SiPPd6 | Alexandria via LeMat-Bulk | PBE | optimized geometry; values from VASP
&SYSTEM
  ibrav = 0, nat = 8, ntyp = 3
/
ATOMIC_SPECIES
P 30.97 P.upf
Pd 106.42 Pd.upf
Si 28.09 Si.upf
CELL_PARAMETERS angstrom
5.7581 0.0072 0.0089
2.8727 4.9902 0.0119
2.8701 1.6589 4.4327
ATOMIC_POSITIONS crystal
P 0.5000 0.5000 0.5000
Pd 0.4599 0.7448 0.7491
Pd 0.0462 0.4599 0.7491
Pd 0.5401 0.2552 0.2509
Pd 0.7448 0.0463 0.7490
Pd 0.2552 0.9537 0.2510
Pd 0.9538 0.5401 0.2509
Si 0.0000 0.0000 0.0000
! **Uncorrected formation energy**: -37 kJ/mol of atoms
! **Space group**: No. 148



! TbFeSi3Rh | Alexandria via LeMat-Bulk | PBE | optimized geometry; values from VASP
&SYSTEM
  ibrav = 0, nat = 12, ntyp = 4
/
ATOMIC_SPECIES
Fe 55.84 Fe.upf
Rh 102.91 Rh.upf
Tb 158.93 Tb.upf
Si 28.09 Si.upf
CELL_PARAMETERS angstrom
-0.7029 -4.0870 -3.4514
4.6946 -3.9636 3.7373
-6.4823 0.0430 1.2693
ATOMIC_POSITIONS crystal
Fe 0.7500 0.9561 0.9121
Fe 0.2500 0.0439 0.0879
Rh 0.2500 0.4305 0.8610
Rh 0.7500 0.5695 0.1390
Tb 0.2500 0.7686 0.5372
Tb 0.7500 0.2314 0.4628
Si 0.0000 0.7560 0.0000
Si 0.0000 0.2440 0.0000
Si 0.5000 0.2440 0.0000
Si 0.5000 0.7560 0.0000
Si 0.2500 0.2325 0.4650
Si 0.7500 0.7675 0.5350
! **Uncorrected formation energy**: -42 kJ/mol of atoms
! **Space group**: No. 63



! LiF5 | Alexandria via LeMat-Bulk | PBE | optimized geometry; values from VASP
&SYSTEM
  ibrav = 0, nat = 6, ntyp = 2
/
ATOMIC_SPECIES
F 19.00 F.upf
Li 6.94 Li.upf
CELL_PARAMETERS angstrom
-0.2642 2.5119 -1.1753
-0.6386 -1.2231 -2.4704
-7.5297 0.7121 3.2145
ATOMIC_POSITIONS crystal
F 0.0000 0.3363 0.6726
F 0.5000 0.8364 0.6728
F 0.5000 0.5000 0.0000
F 0.0000 0.6637 0.3274
F 0.5000 0.1636 0.3272
Li 0.0000 0.0000 0.0000
! **Uncorrected formation energy**: -59 kJ/mol of atoms
! **Excess energy over the best structure of this formula in the dataset**: 300 meV per atom
! **Space group**: No. 65